[1]
Crystalline Pm4Sm3Ho2 at its relaxed geometry, computed with PBE-GGA.

Cell: 9.8898 17.1204 7.0617 Å, 90.00 90.00 90.00°
Space group Cccm (No. 66)
Inequivalent atoms, fractional coordinates:
Pm (0.1664, 0.0009, 0.0000) (multiplicity 8)
Pm (0.1674, 0.3331, 0.0000) (multiplicity 8)
Sm (0.0000, 0.1700, 0.2500) (multiplicity 8)
Sm (0.0000, 0.5000, 0.2500) (multiplicity 4)
Ho (0.1668, 0.3337, 0.5000) (multiplicity 8)

Output
energy relative to the lowest polymorph listed for this composition: 4.3 kJ per mole of atoms
total moment: 0.000 Bohr magnetons per cell
energy relative to the elements: 0.0590 eV per atom
raw total energy: -4.643 eV/atom



[2]
Crystalline Pm2Sm5Ho5 at its relaxed geometry, computed with PBE-GGA.

Cell: 15.2192 5.0674 11.3616 Å, 90.00 116.58 90.00°
Space group C2/m (No. 12)
Inequivalent atoms, fractional coordinates:
Pm (0.0830, 0.0000, 0.2508) (multiplicity 4)
Sm (0.0000, 0.0000, 0.5000) (multiplicity 2)
Sm (0.1659, 0.0000, 0.9993) (multiplicity 4)
Sm (0.2490, 0.0000, 0.7482) (multiplicity 4)
Ho (0.0000, 0.5000, 0.0000) (multiplicity 2)
Ho (0.0831, 0.5000, 0.7494) (multiplicity 4)
Ho (0.1670, 0.5000, 0.5006) (multiplicity 4)

Output
total moment: 0.000 Bohr magnetons per cell
energy relative to the elements: 0.0165 eV per atom
raw total energy: -4.649 eV/atom



[3]
Crystalline PmSm2Ho5 at its relaxed geometry, computed with PBE-GGA.

Cell: 16.3216 9.8803 6.4793 Å, 90.00 97.94 90.00°
Space group C2/c (No. 15)
Inequivalent atoms, fractional coordinates:
Pm (0.2500, 0.2500, 0.0000) (multiplicity 4)
Sm (0.0771, 0.2461, 0.1150) (multiplicity 8)
Ho (0.0000, 0.4435, 0.7500) (multiplicity 4)
Ho (0.0989, 0.0905, 0.6421) (multiplicity 8)
Ho (0.1962, 0.4108, 0.5208) (multiplicity 8)

Output
energy relative to the lowest polymorph listed for this composition: 14.9 kJ per mole of atoms
total moment: 0.000 Bohr magnetons per cell
energy relative to the elements: 0.1716 eV per atom
raw total energy: -4.463 eV/atom



[4]
Crystalline Pm3Sm5Ho2 at its relaxed geometry, computed with PBE-GGA.

Cell: 17.6360 9.4575 11.0711 Å, 90.00 128.85 90.00°
Space group C2/c (No. 15)
Inequivalent atoms, fractional coordinates:
Pm (0.0000, 0.0012, 0.2500) (multiplicity 4)
Pm (0.1259, 0.2506, 0.1259) (multiplicity 8)
Sm (0.0000, 0.4996, 0.2500) (multiplicity 4)
Sm (0.1226, 0.4009, 0.6224) (multiplicity 8)
Sm (0.2503, 0.0009, 0.0004) (multiplicity 8)
Ho (0.1259, 0.0875, 0.6261) (multiplicity 8)

Output
energy relative to the lowest polymorph listed for this composition: 17.9 kJ per mole of atoms
total moment: 0.000 Bohr magnetons per cell
energy relative to the elements: 0.3722 eV per atom
raw total energy: -4.328 eV/atom



Question: What is the energy relative to the elements in the second record?
Answer: 0.0165 eV per atom